Pm3HoIn2 after structural relaxation. Source: Alexandria, functional PBE-GGA.

Computed properties:
Energy relative to the elements (meV/atom): -353
Theoretical density (g/cm3): 7.6
ΔE to the lowest computed polymorph (eV/f.u.): 0.00
Uncorrected energy (eV/cell): -52.850
Crystal system: orthorhombic

Cell and atoms, written as CIF:
```
data_Pm3HoIn2
_chemical_formula_sum 'Pm6 Ho2 In4'
_symmetry_space_group_name_H-M 'P m c 21'
_symmetry_Int_Tables_number 26
_symmetry_space_group_name_Hall 'P 2c -2'
_cell_length_a 5.290
_cell_length_b 10.017
_cell_length_c 6.807
_cell_angle_alpha 90.00
_cell_angle_beta 90.00
_cell_angle_gamma 90.00
loop_
_atom_site_label
_atom_site_type_symbol
_atom_site_fract_x
_atom_site_fract_y
_atom_site_fract_z
_atom_site_occupancy
Pm1 Pm 0.000 0.035 0.000 1
Pm2 Pm 0.000 0.326 0.340 1
Pm3 Pm 0.500 0.182 0.727 1
Ho1 Ho 0.500 0.462 0.064 1
In1 In 0.000 0.356 0.824 1
In2 In 0.500 0.146 0.245 1
```